Entry from Alexandria: crystalline Sm2ErMg5 at its relaxed geometry (PBE).

```
16
Lattice="5.243 0.000 0.000 0.000 5.243 0.000 0.000 0.000 15.482" Properties=species:S:1:pos:R:3 pbc="T T T"
Sm 0.000 0.000 3.754
Sm 0.000 0.000 11.728
Sm 2.622 2.622 3.987
Sm 2.622 2.622 11.494
Er 0.000 0.000 7.741
Er 2.622 2.622 0.000
Mg 0.000 0.000 0.000
Mg 0.000 2.622 1.788
Mg 0.000 2.622 5.953
Mg 0.000 2.622 9.529
Mg 0.000 2.622 13.693
Mg 2.622 0.000 1.788
Mg 2.622 0.000 5.953
Mg 2.622 0.000 9.529
Mg 2.622 0.000 13.693
Mg 2.622 2.622 7.741
```

Results
space group	No. 139
energy	-2.81	eV per atom
total magnetization	0.001	μB/cell
formation energy	-52.0	kJ/mol of formula units
D(E_F)	7.85	states/eV/f.u.